# NiHg2TeF

A relaxed NiHg2TeF crystal (PBE+U, Alexandria).

Properties
The value obtained for the calculated total energy is -1.353 eV/atom. As for the density of states at the Fermi level: 3.10 states/eV per cell. The calculation puts the calculated volume at 148.1 Å³/cell.

Unit cell a=5.646 b=5.646 c=4.647 alpha=90.00 beta=90.00 gamma=90.00
Atoms (fractional coordinates):
Ni 0.000 0.000 0.000
Hg 0.000 0.500 0.500
Hg 0.500 0.000 0.500
Te 0.000 0.000 0.500
F 0.500 0.500 0.000